No. 1
Here is Pr2TmAg3 after structural relaxation from Alexandria. Energies are from PBE-GGA.

Calculated values
Its formation energy is -0.278 eV per atom. Its total magnetization is 0.002 μB per formula unit. Its volume is 25.7 A^3/atom. The calculation puts the uncorrected energy at -4.042 eV/atom.

abc: 3.6813 3.6813 11.3639
angles: 90.00 90.00 90.00
Space group P4/mmm (No. 123)
One atom of each set of equivalent atoms:
Pr1 0.0000 0.0000 0.1733 [2 per cell]
Tm1 0.0000 0.0000 0.5000 [1 per cell]
Ag1 0.5000 0.5000 0.0000 [1 per cell]
Ag2 0.5000 0.5000 0.3532 [2 per cell]



No. 2
Here is PPt3Se after structural relaxation from Alexandria. Energies are from PBE-GGA.

Calculated values
Its total magnetization is 0.000 μB per formula unit. Its volume is 20.7 A^3/atom. The calculation puts the uncorrected energy at -4.429 eV/atom.

abc: 4.6969 4.6969 4.6969
angles: 90.00 90.00 90.00
Space group Pm-3m (No. 221)
One atom of each set of equivalent atoms:
P1 0.0000 0.0000 0.0000 [1 per cell]
Pt1 0.0000 0.5000 0.5000 [3 per cell]
Se1 0.5000 0.5000 0.5000 [1 per cell]



No. 3
Here is Rb3CoBr6 after structural relaxation from Alexandria. Energies are from PBE-GGA.

Calculated values
Its total magnetization is 0.003 μB per formula unit. Its volume is 38.9 A^3/atom. The calculation puts the uncorrected energy at -3.124 eV/atom.

abc: 12.9528 12.9528 16.0731
angles: 90.00 90.00 120.00
Space group R-3 (No. 148, hexagonal axes)
One atom of each set of equivalent atoms:
Rb1 0.0519 0.2703 0.2114 [18 per cell]
Co1 0.0000 0.0000 0.0000 [3 per cell]
Co2 0.0000 0.0000 0.5000 [3 per cell]
Br1 0.0038 0.8477 0.5885 [18 per cell]
Br2 0.0350 0.1695 0.9124 [18 per cell]



No. 4
Here is SmEuN after structural relaxation from Alexandria. Energies are from PBE-GGA.

Calculated values
Its total magnetization is 7.539 μB per formula unit. Its volume is 24.5 A^3/atom. The calculation puts the uncorrected energy at -8.601 eV/atom.

abc: 3.6349 3.6349 6.4151
angles: 90.00 90.00 120.00
Space group P3m1 (No. 156)
One atom of each set of equivalent atoms:
Sm1 0.0000 0.0000 0.0000 [1 per cell]
Eu1 0.6667 0.3333 0.5661 [1 per cell]
N1 0.3333 0.6667 0.8157 [1 per cell]



Question: uncorrected energy of number 4 (SmEuN)?
Answer: -8.601 eV/atom



Please write out number 1 again, unchanged.
Here is Pr2TmAg3 after structural relaxation from Alexandria. Energies are from PBE-GGA.

Calculated values
Its formation energy is -0.278 eV per atom. Its total magnetization is 0.002 μB per formula unit. Its volume is 25.7 A^3/atom. The calculation puts the uncorrected energy at -4.042 eV/atom.

abc: 3.6813 3.6813 11.3639
angles: 90.00 90.00 90.00
Space group P4/mmm (No. 123)
One atom of each set of equivalent atoms:
Pr1 0.0000 0.0000 0.1733 [2 per cell]
Tm1 0.0000 0.0000 0.5000 [1 per cell]
Ag1 0.5000 0.5000 0.0000 [1 per cell]
Ag2 0.5000 0.5000 0.3532 [2 per cell]



Question: Among the records above, which one has the lowest uncorrected energy?
Answer: SmEuN



Question: What is the formula in the fourth record?
Answer: SmEuN